# 1
Material: Be2FeRh
Method: DFT, GGA-PBEsol
State: relaxed

N(E_F) = 0.886 states/eV per atom
electronic total energy = -26.50 eV per formula unit

a = 2.6985 Å, b = 3.8012 Å, c = 3.8012 Å
α = 90.00°, β = 90.00°, γ = 90.00°
Last column: nearest neighbours and their distance in Å.
Sites, in units of the cell vectors:
Be 0.0000 0.0000 0.5000  4 Fe 2.33, 4 Rh 2.33
Be 0.0000 0.5000 0.0000  4 Rh 2.33, 4 Fe 2.33
Rh 0.5000 0.0000 0.0000  8 Be 2.33
Fe 0.5000 0.5000 0.5000  8 Be 2.33

# 2
Material: MgAgSe2
Method: DFT, GGA-PBEsol
State: relaxed

formation energy (no corrections) = -0.303 eV/atom
N(E_F) = 0.603 states/eV per atom

a = 3.9591 Å, b = 5.0795 Å, c = 5.0795 Å
α = 74.88°, β = 67.06°, γ = 67.06°
Last column: nearest neighbours and their distance in Å.
Sites, in units of the cell vectors:
Ag 0.0000 0.5000 0.5000  4 Se 2.63
Mg 0.5000 0.0000 0.0000  4 Se 2.66
Se 0.2529 0.7471 0.7471  2 Ag 2.63, 2 Mg 2.66
Se 0.7471 0.2529 0.2529  2 Ag 2.63, 2 Mg 2.66

# 3
Material: LaFe2Sb
Method: DFT, GGA-PBEsol
State: relaxed

formation energy (no corrections) = 0.373 eV/atom
N(E_F) = 0.918 states/eV per atom

a = 3.2287 Å, b = 5.2378 Å, c = 5.2378 Å
α = 105.08°, β = 107.48°, γ = 107.48°
Last column: nearest neighbours and their distance in Å.
Sites, in units of the cell vectors:
Fe 0.0000 0.5000 0.0000  2 La 2.63, 2 Sb 2.63
Fe 0.0000 0.0000 0.5000  2 Sb 2.63, 2 La 2.63
La 0.5000 0.0000 0.0000  4 Fe 2.63
Sb 0.5000 0.5000 0.5000  4 Fe 2.63

# 4
Material: BaCa2Sc
Method: DFT, GGA-PBEsol
State: relaxed

N(E_F) = 1.608 states/eV per atom
electronic total energy = -12.05 eV per formula unit

a = 5.9815 Å, b = 5.9815 Å, c = 5.9815 Å
α = 60.00°, β = 60.00°, γ = 60.00°
Last column: nearest neighbours and their distance in Å.
Sites, in units of the cell vectors:
Sc 0.2500 0.2500 0.2500  4 Ba 3.66, 4 Ca 3.66
Ca 0.0000 0.0000 0.0000  4 Sc 3.66, 4 Ca 3.66
Ca 0.7500 0.7500 0.7500  4 Ba 3.66, 4 Ca 3.66
Ba 0.5000 0.5000 0.5000  4 Ca 3.66, 4 Sc 3.66

# 5
Material: Pr3Te4
Method: DFT, GGA-PBEsol
State: relaxed

formation energy (no corrections) = -1.480 eV/atom
N(E_F) = 0.607 states/eV per atom

a = 8.1734 Å, b = 8.1734 Å, c = 8.1734 Å
α = 109.47°, β = 109.47°, γ = 109.47°
Last column: nearest neighbours and their distance in Å.
Sites, in units of the cell vectors:
Pr 0.1250 0.2500 0.3750  8 Te 3.20-3.33
Pr 0.8750 0.1250 0.7500  8 Te 3.20-3.33
Pr 0.6250 0.3750 0.2500  8 Te 3.20-3.33
Pr 0.7500 0.6250 0.8750  8 Te 3.20-3.33
Pr 0.2500 0.8750 0.6250  8 Te 3.20-3.33
Pr 0.3750 0.7500 0.1250  8 Te 3.20-3.33
Te 0.5000 0.1536 0.5000  6 Pr 3.20-3.33, 3 Te 3.58
Te 0.8464 0.8464 0.3464  6 Pr 3.20-3.33, 3 Te 3.58
Te 0.6536 0.0000 0.0000  6 Pr 3.20-3.33, 3 Te 3.58
Te 0.0000 0.5000 0.1536  6 Pr 3.20-3.33, 3 Te 3.58
Te 0.1536 0.0000 0.0000  6 Pr 3.20-3.33, 3 Te 3.58
Te 0.0000 0.5000 0.6536  6 Pr 3.20-3.33, 3 Te 3.58
Te 0.5000 0.6536 0.5000  6 Pr 3.20-3.33, 3 Te 3.58
Te 0.3464 0.3464 0.8464  6 Pr 3.20-3.33, 3 Te 3.58

# 6
Material: BaY2As
Method: DFT, GGA-PBEsol
State: relaxed

N(E_F) = 1.031 states/eV per atom
electronic total energy = -21.51 eV per formula unit

a = 3.6140 Å, b = 5.8199 Å, c = 6.4371 Å
α = 116.30°, β = 105.44°, γ = 91.84°
Last column: nearest neighbours and their distance in Å.
Sites, in units of the cell vectors:
Y 0.0000 0.0000 0.5000  2 Ba 3.24, 2 As 3.24, 6 Y 3.38-3.61
Y 0.5000 0.5000 0.5000  2 As 3.24, 2 Ba 3.24, 6 Y 3.38-3.61
As 0.5000 0.0000 0.0000  4 Y 3.24, 4 Ba 3.38-3.47, 2 As 3.61
Ba 0.0000 0.5000 0.0000  4 Y 3.24, 4 As 3.38-3.47, 2 Ba 3.61

# 7
Material: Cr2CoRu
Method: DFT, GGA-PBEsol
State: relaxed

N(E_F) = 1.291 states/eV per atom
electronic total energy = -37.72 eV per formula unit

a = 2.8984 Å, b = 2.8984 Å, c = 5.5029 Å
α = 90.00°, β = 90.00°, γ = 90.00°
Last column: nearest neighbours and their distance in Å.
Sites, in units of the cell vectors:
Co 0.5000 0.5000 0.7921  5 Cr 2.28-2.48
Cr 0.0000 0.0000 0.9722  4 Co 2.28, 4 Cr 2.53
Cr 0.5000 0.5000 0.2421  4 Ru 2.47, 1 Co 2.48, 4 Cr 2.53
Ru 0.0000 0.0000 0.4936  5 Cr 2.47-2.63, 4 Co 2.63

# 8
Material: Sm3Y
Method: DFT, GGA-PBEsol
State: relaxed

N(E_F) = 1.676 states/eV per atom
electronic total energy = -22.02 eV per formula unit

a = 5.6931 Å, b = 7.1618 Å, c = 7.1618 Å
α = 120.00°, β = 90.00°, γ = 90.00°
Last column: nearest neighbours and their distance in Å.
Sites, in units of the cell vectors:
Y 0.7500 0.3333 0.6667  12 Sm 3.52-3.58
Y 0.2500 0.6667 0.3333  12 Sm 3.52-3.58
Sm 0.2500 0.6676 0.8338  8 Sm 3.51-3.59, 4 Y 3.52-3.58
Sm 0.2500 0.1662 0.3324  8 Sm 3.51-3.59, 4 Y 3.52-3.58
Sm 0.2500 0.1662 0.8338  8 Sm 3.51-3.59, 4 Y 3.52-3.58
Sm 0.7500 0.3324 0.1662  8 Sm 3.51-3.59, 4 Y 3.52-3.58
Sm 0.7500 0.8338 0.6676  8 Sm 3.51-3.59, 4 Y 3.52-3.58
Sm 0.7500 0.8338 0.1662  8 Sm 3.51-3.59, 4 Y 3.52-3.58